Record 1
Density functional theory data (PBE-GGA) for a geometry-optimized NpNbGe2 structure.

abc: 2.8896 2.8896 31.7611
angles: 90.00 90.00 120.00
Fractional coordinates of all 12 atoms:
Np: 0.0000 0.0000 0.0000
Np: 0.3333 0.6667 0.6667
Np: 0.6667 0.3333 0.3333
Nb: 0.0000 0.0000 0.5000
Nb: 0.3333 0.6667 0.1667
Nb: 0.6667 0.3333 0.8333
Ge: 0.0000 0.0000 0.4148
Ge: 0.0000 0.0000 0.5852
Ge: 0.3333 0.6667 0.0815
Ge: 0.3333 0.6667 0.2518
Ge: 0.6667 0.3333 0.7482
Ge: 0.6667 0.3333 0.9185

Summary:
total energy = -7.839 eV per atom
M_tot = 7.59 μB/cell



Record 2
Density functional theory data (PBE-GGA) for a geometry-optimized La4CeNd5 structure.

abc: 9.3262 9.3262 11.3074
angles: 106.91 106.91 22.15
Fractional coordinates of all 10 atoms:
La: 0.0896 0.0896 0.3030
La: 0.3058 0.3058 0.4194
La: 0.6942 0.6942 0.5806
La: 0.9104 0.9104 0.6970
Ce: 0.5000 0.5000 0.5000
Nd: 0.1048 0.1048 0.7887
Nd: 0.2070 0.2070 0.1002
Nd: 0.5000 0.5000 0.0000
Nd: 0.7930 0.7930 0.8998
Nd: 0.8952 0.8952 0.2113

Summary:
total energy = -4.851 eV per atom
M_tot = 0.59 μB/cell



Record 3
Density functional theory data (PBE-GGA) for a geometry-optimized LiScPt structure.

abc: 4.5149 3.3100 13.9742
angles: 90.00 90.00 90.00
Fractional coordinates of all 12 atoms:
Li: 0.2452 0.2500 0.0175
Li: 0.2548 0.7500 0.5175
Li: 0.7452 0.2500 0.4825
Li: 0.7548 0.7500 0.9825
Sc: 0.2383 0.2500 0.3325
Sc: 0.2617 0.7500 0.8325
Sc: 0.7383 0.2500 0.1675
Sc: 0.7617 0.7500 0.6675
Pt: 0.2378 0.7500 0.1702
Pt: 0.2622 0.2500 0.6702
Pt: 0.7378 0.7500 0.3298
Pt: 0.7622 0.2500 0.8298

Summary:
total energy = -5.569 eV per atom
M_tot = 0.00 μB/cell



The highest total energy belongs to which entry? La4CeNd5